[1]
First-principles (PBE-GGA) data for an optimized crystal structure of Bi2AsAu, as listed in Alexandria.

Computed properties:
formation energy	120	meV per atom
calculated density	8.299	Mg/m³
DOS at the Fermi energy	2.0	states/eV per cell
E	-3.803	eV/atom

a = 6.5478 Å, b = 6.5478 Å, c = 7.9307 Å
α = 65.62°, β = 65.62°, γ = 90.00°
Element x y z (fractional)
As (0.5000, 0.5000, 0.0000)
As (0.2500, 0.7500, 0.5000)
Au (0.0000, 0.0000, 0.0000)
Au (0.7500, 0.2500, 0.5000)
Bi (0.6311, 0.1250, 0.2500)
Bi (0.1189, 0.6250, 0.2500)
Bi (0.3750, 0.3689, 0.7500)
Bi (0.8750, 0.8811, 0.7500)

[2]
First-principles (PBE-GGA) data for an optimized crystal structure of Ta5Mo3, as listed in Alexandria.

Computed properties:
formation energy	-96	meV per atom
calculated density	14.397	Mg/m³
ΔE to the lowest computed polymorph	77.1	meV per atom
DOS at the Fermi energy	7.8	states/eV per cell
E	-11.565	eV/atom

a = 3.2550 Å, b = 4.5409 Å, c = 9.3064 Å
α = 90.00°, β = 90.00°, γ = 90.00°
Element x y z (fractional)
Mo (0.0000, 0.0000, 0.0050)
Mo (0.5000, 0.0000, 0.2500)
Mo (0.0000, 0.0000, 0.4950)
Ta (0.5000, 0.0000, 0.7500)
Ta (0.5000, 0.5000, 0.9996)
Ta (0.0000, 0.5000, 0.2500)
Ta (0.5000, 0.5000, 0.5004)
Ta (0.0000, 0.5000, 0.7500)